This record from Alexandria describes a relaxed structure of Al2ZnPt. The functional is PBE.

Structure (CIF):
```
data_Al2ZnPt
_symmetry_space_group_name_H-M 'P 4 m m'
_symmetry_Int_Tables_number 99
_symmetry_space_group_name_Hall 'P 4 -2'
_cell_length_a 2.8345
_cell_length_b 2.8345
_cell_length_c 7.7386
_cell_angle_alpha 90.00
_cell_angle_beta 90.00
_cell_angle_gamma 90.00
loop_
_atom_site_label
_atom_site_type_symbol
_atom_site_fract_x
_atom_site_fract_y
_atom_site_fract_z
Al1 Al 0.0000 0.0000 0.0000
Al2 Al 0.5000 0.5000 0.2702
Zn1 Zn 0.5000 0.5000 0.7385
Pt1 Pt 0.0000 0.0000 0.4884
```

Values from the calculation:
ΔH_f (0 K)   -36.5 kJ/mol of atoms
VASP energy   -0.300 Ry/atom

=====

This record from Alexandria describes a relaxed structure of NaAuCl6. The functional is PBE.

Structure (CIF):
```
data_NaAuCl6
_symmetry_space_group_name_H-M 'P -1'
_symmetry_Int_Tables_number 2
_symmetry_space_group_name_Hall '-P 1'
_cell_length_a 6.4557
_cell_length_b 6.4585
_cell_length_c 7.0410
_cell_angle_alpha 62.70
_cell_angle_beta 89.96
_cell_angle_gamma 60.05
loop_
_atom_site_label
_atom_site_type_symbol
_atom_site_fract_x
_atom_site_fract_y
_atom_site_fract_z
Na1 Na 0.0000 0.0000 0.0000
Au1 Au 0.5000 0.0000 0.5000
Cl1 Cl 0.1036 0.4244 0.2715
Cl2 Cl 0.3031 0.7997 0.7284
Cl3 Cl 0.4723 0.8313 0.2716
```

Values from the calculation:
E_form (uncorrected)   -3.58 eV/f.u.
Polymorph energy (0 for the lowest one)   109 kJ/mol of formula units
VASP energy   -0.177 Ry/atom